1.
## NaCeRuO4 (PBE)

Data for a relaxed structure of NaCeRuO4.

Output
Space-group type: Imma
Uncorrected energy: -0.53127 Ry per atom
M_tot: 0.147 μB/atom

a = 6.4853 Å, b = 6.4853 Å, c = 6.4853 Å
α = 118.88°, β = 112.66°, γ = 97.57°
Last column: nearest neighbours and their distance in Å.
Sites, in units of the cell vectors:
Na (0.3689, 0.1189, 0.2500)  2 O 2.19
Na (0.6311, 0.8811, 0.7500)  2 O 2.19
Ce (0.0000, 0.5000, 0.5000)  6 O 2.27-2.28
Ce (0.5000, 0.5000, 0.0000)  6 O 2.27-2.28
Ru (0.0000, 0.0000, 0.5000)  6 O 2.08-2.10
Ru (0.0000, 0.5000, 0.0000)  6 O 2.08-2.10
O (0.1699, 0.2395, 0.9304)  2 Ru 2.10, 1 Ce 2.28
O (0.1909, 0.7605, 0.4304)  2 Ru 2.10, 1 Ce 2.28
O (0.2417, 0.2807, 0.5390)  1 Ru 2.08, 1 Na 2.19, 2 Ce 2.27
O (0.2417, 0.7028, 0.9610)  1 Ru 2.08, 1 Na 2.19, 2 Ce 2.27
O (0.7583, 0.2972, 0.0390)  1 Ru 2.08, 1 Na 2.19, 2 Ce 2.27
O (0.7583, 0.7193, 0.4610)  1 Ru 2.08, 1 Na 2.19, 2 Ce 2.27
O (0.8091, 0.2395, 0.5696)  2 Ru 2.10, 1 Ce 2.28
O (0.8301, 0.7605, 0.0696)  2 Ru 2.10, 1 Ce 2.28



2.
## Cs2TeRh2 (PBE)

Data for a relaxed structure of Cs2TeRh2.

Output
Space-group type: I4/mmm
Uncorrected energy: -0.22098 Ry per atom
M_tot: 0.426 μB/atom

a = 6.9776 Å, b = 6.9776 Å, c = 6.9776 Å
α = 136.52°, β = 136.52°, γ = 63.18°
Last column: nearest neighbours and their distance in Å.
Sites, in units of the cell vectors:
Cs (0.2500, 0.7500, 0.5000)  4 Rh 3.14
Cs (0.7500, 0.2500, 0.5000)  4 Rh 3.14
Te (0.0000, 0.0000, 0.0000)  8 Rh 3.85, 8 Cs 3.94
Rh (0.3995, 0.3995, 0.0000)  1 Rh 2.39
Rh (0.6005, 0.6005, 0.0000)  1 Rh 2.39



3.
## Fe3NiAu (PBE)

Data for a relaxed structure of Fe3NiAu.

Output
Space-group type: Pm-3m
Energy above the most stable polymorph in this dataset: 3.86 eV/f.u.
DFT formation energy: 1627 meV per atom
M_tot: 2.056 μB/atom

a = 4.7041 Å, b = 4.7041 Å, c = 4.7041 Å
α = 90.00°, β = 90.00°, γ = 90.00°
Last column: nearest neighbours and their distance in Å.
Sites, in units of the cell vectors:
Fe (0.0000, 0.0000, 0.5000)  2 Au 2.35
Fe (0.0000, 0.5000, 0.0000)  2 Au 2.35
Fe (0.5000, 0.0000, 0.0000)  2 Au 2.35
Ni (0.5000, 0.5000, 0.5000)  12 Fe 3.33
Au (0.0000, 0.0000, 0.0000)  6 Fe 2.35



4.
## Na2YPt9 (PBE)

Data for a relaxed structure of Na2YPt9.

Output
Space-group type: R-3m
DFT formation energy: -500 meV per atom
M_tot: 0.000 μB/atom

a = 9.3854 Å, b = 9.3854 Å, c = 9.3854 Å
α = 33.12°, β = 33.12°, γ = 33.12°
Last column: nearest neighbours and their distance in Å.
Sites, in units of the cell vectors:
Na (0.1449, 0.1449, 0.1449)  12 Pt 3.12-3.16, 3 Na 3.30
Na (0.8551, 0.8551, 0.8551)  12 Pt 3.12-3.16, 3 Na 3.30
Y (0.0000, 0.0000, 0.0000)  6 Pt 3.09
Pt (0.0821, 0.5855, 0.5855)  7 Pt 2.66-2.74
Pt (0.3328, 0.3328, 0.3328)  6 Pt 2.71-2.74
Pt (0.4145, 0.4145, 0.9179)  7 Pt 2.66-2.74
Pt (0.4145, 0.9179, 0.4145)  7 Pt 2.66-2.74
Pt (0.5000, 0.5000, 0.5000)  6 Pt 2.68
Pt (0.5855, 0.0821, 0.5855)  7 Pt 2.66-2.74
Pt (0.5855, 0.5855, 0.0821)  7 Pt 2.66-2.74
Pt (0.6672, 0.6672, 0.6672)  6 Pt 2.71-2.74
Pt (0.9179, 0.4145, 0.4145)  7 Pt 2.66-2.74